{
  "formula": "RbCrP2O",
  "functional": "GGA+U",
  "state": "relaxed",
  "lattice_angstrom": [[5.423, 0.000, 0.000], [0.000, 5.423, 0.000], [0.000, 0.000, 4.316]],
  "species": ["Rb", "Cr", "P", "P", "O"],
  "fractional_positions": [[0.000, 0.000, 0.000], [0.500, 0.500, 0.500], [0.000, 0.500, 0.000], [0.500, 0.000, 0.000], [0.000, 0.000, 0.500]],
  "relative_energy_ev_per_atom": 1.288,
  "m_tot_mub_per_fu": 2.6,
  "spacegroup": "P4/mmm (123)"
}